(1)
! Be3BAs | Alexandria | PBE | relaxed; values from VASP
&SYSTEM
  ibrav = 0, nat = 5, ntyp = 3
/
ATOMIC_SPECIES
As 74.92 As.upf
B 10.81 B.upf
Be 9.01 Be.upf
CELL_PARAMETERS angstrom
-2.8219 1.9999 2.3344
-1.8755 -3.6309 0.8435
2.4355 -0.4789 3.3543
ATOMIC_POSITIONS crystal
As 0.0000 0.0000 0.0000
B 0.5000 0.5000 0.5000
Be 0.5000 0.0000 0.0000
Be 0.0000 0.5000 0.0000
Be 0.0000 0.0000 0.5000
! - VASP energy: -2.977 eV/atom
! - E above lowest polymorph: 1117 meV per atom
! - Space-group type: Pm-3m (221)
! - V: 14.532 Å³/atom
! - DFT formation energy: 1524 meV/atom



(2)
! Be3BAs | Alexandria | PBE | relaxed; values from VASP
&SYSTEM
  ibrav = 0, nat = 5, ntyp = 3
/
ATOMIC_SPECIES
Be 9.01 Be.upf
As 74.92 As.upf
B 10.81 B.upf
CELL_PARAMETERS angstrom
3.7814 0.0000 0.0000
0.0000 3.7814 0.0000
0.0000 0.0000 3.7814
ATOMIC_POSITIONS crystal
Be 0.5000 0.0000 0.0000
Be 0.0000 0.5000 0.0000
Be 0.0000 0.0000 0.5000
As 0.5000 0.5000 0.5000
B 0.0000 0.0000 0.0000
! - VASP energy: -4.093 eV/atom
! - E above lowest polymorph: 0 meV per atom
! - Space-group type: Pm-3m (221)
! - V: 10.814 Å³/atom
! - DFT formation energy: 408 meV/atom



Which formula does entry 2 have? Be3BAs